{"formula": "Ba2TlSn3", "functional": "GGA-PBE", "state": "optimized geometry", "magnetic_moment_mub_per_fu": 0.00, "ef_mev_per_atom": -507, "relative_energy_ev_per_fu": 0.00, "lattice_angstrom": [[4.573, 0.000, 1.915], [1.851, 6.521, 1.998], [-0.241, 0.325, 6.993]], "species": ["Sn", "Ba", "Sn", "Sn", "Ba", "Tl"], "frac_coords": [[0.844, 0.203, 0.109], [0.443, 0.804, 0.311], [0.158, 0.804, 0.879], [0.827, 0.588, 0.757], [0.563, 0.191, 0.682], [0.164, 0.410, 0.262]]}